DFT (PBE with a Hubbard U) results for a relaxed MoPt2F crystal.

The value obtained for the density of states at the Fermi level is 6.44 states/eV/cell. Its space-group type is I-42d (122). The calculation puts the energy above the most stable polymorph in this dataset at 0 meV/atom. As for the mass density: 12.48 g/cm3. The magnetization comes out at 5.0 μB per cell. Its total energy is -41.36 eV/cell.

Geometry as extended XYZ:
```
8
Lattice="-3.7022 3.7022 2.4508 3.7022 -3.7022 2.4508 3.7022 3.7022 -2.4508" Properties=species:S:1:pos:R:3 pbc="T T T"
Mo 0.0000 0.0000 0.0000
Mo 0.0000 3.7022 1.2254
Pt 1.8511 2.0466 -0.6127
Pt 5.3578 1.8511 0.6127
Pt 1.8511 1.6556 1.8381
Pt -1.6556 1.8511 3.0634
F 3.7022 0.0000 1.2254
F 0.0000 0.0000 2.4508
```